Here is a geometry-optimized KTeOs2 structure from Alexandria via LeMat-Bulk. Energies are from GGA-PBE.

Calculated values
* energy relative to the elements, uncorrected: 1596 meV/atom
* space group: No. 65

Lattice parameters (Å, degrees): 5.903 5.903 2.705 90.00 90.00 120.88
Positions (direct):
1 K 0.000 0.500 0.500
2 Os 0.000 0.000 0.000
3 Os 0.500 0.500 0.000
4 Te 0.500 0.000 0.500

=====

Here is a geometry-optimized K2TiTeOs structure from Alexandria via LeMat-Bulk. Energies are from GGA-PBE.

Calculated values
* energy relative to the elements, uncorrected: 1320 meV/atom
* space group: No. 123

Lattice parameters (Å, degrees): 6.547 5.297 6.547 90.00 90.00 90.00
Each line ends with the local moment (μB).
Positions (direct):
1 Ti 0.000 0.500 0.000  1.88
2 Os 0.500 0.500 0.500  2.67
3 K 0.500 0.000 0.000  0.01
4 K 0.000 0.000 0.500  0.01
5 Te 0.000 0.000 0.000  -0.05

=====

Here is a geometry-optimized KTiOs2 structure from Alexandria via LeMat-Bulk. Energies are from GGA-PBE.

Calculated values
* distance to the lowest polymorph of the same formula: 15 kJ/mol of formula units
* space group: No. 225

Lattice parameters (Å, degrees): 4.582 4.582 4.582 60.00 60.00 60.00
Positions (direct):
1 Os 0.250 0.250 0.250
2 Os 0.750 0.750 0.750
3 Ti 0.500 0.500 0.500
4 K 0.000 0.000 0.000

=====

Here is a geometry-optimized KTiOs2 structure from Alexandria via LeMat-Bulk. Energies are from GGA-PBE.

Calculated values
* distance to the lowest polymorph of the same formula: 0 kJ/mol of formula units
* space group: No. 122

Lattice parameters (Å, degrees): 4.928 4.928 9.250 74.55 74.55 90.00
Positions (direct):
1 Os 0.903 0.125 0.250
2 Os 0.375 0.097 0.750
3 Os 0.875 0.153 0.750
4 Os 0.847 0.625 0.250
5 Ti 0.000 0.000 0.000
6 Ti 0.750 0.250 0.500
7 K 0.500 0.500 0.000
8 K 0.250 0.750 0.500

=====

Here is a geometry-optimized KTiOsW2 structure from Alexandria via LeMat-Bulk. Energies are from GGA-PBE.

Calculated values
* raw total energy: -6.667 eV/atom
* space group: No. 123

Lattice parameters (Å, degrees): 4.633 4.605 4.633 90.00 90.00 90.00
Positions (direct):
1 W 0.500 0.000 0.000
2 W 0.000 0.000 0.500
3 K 0.000 0.500 0.000
4 Os 0.500 0.500 0.500
5 Ti 0.000 0.000 0.000

=====

Here is a geometry-optimized KYTiOs2 structure from Alexandria via LeMat-Bulk. Energies are from GGA-PBE.

Calculated values
* raw total energy: -5.324 eV/atom
* space group: No. 123

Lattice parameters (Å, degrees): 4.801 4.360 4.801 90.00 90.00 90.00
Positions (direct):
1 Os 0.000 0.000 0.500
2 Os 0.500 0.000 0.000
3 Ti 0.000 0.500 0.000
4 K 0.000 0.000 0.000
5 Y 0.500 0.500 0.500

=====

Here is a geometry-optimized KTlOs2 structure from Alexandria via LeMat-Bulk. Energies are from GGA-PBE.

Calculated values
* distance to the lowest polymorph of the same formula: 43 kJ/mol of formula units
* space group: No. 8

Lattice parameters (Å, degrees): 4.364 4.364 8.276 84.45 84.45 38.69
Positions (direct):
1 Tl 0.484 0.484 0.563
2 Os 0.014 0.014 0.912
3 Os 0.754 0.754 0.809
4 K 0.248 0.248 0.216

=====

Here is a geometry-optimized KTlOs2 structure from Alexandria via LeMat-Bulk. Energies are from GGA-PBE.

Calculated values
* distance to the lowest polymorph of the same formula: 185 kJ/mol of formula units
* space group: No. 12

Lattice parameters (Å, degrees): 6.806 6.806 7.955 50.36 50.36 24.33
Positions (direct):
1 Os 0.048 0.048 0.808
2 Os 0.452 0.452 0.692
3 K 0.250 0.250 0.250
4 Tl 0.750 0.750 0.750

=====

In μB per formula unit, the total moment values for the records above are, in order, 0.00, 5.89, 0.00, 0.00, 0.00, 0.00, 0.00, 0.00.